(1)
Density functional theory data (PBE) for crystalline In2PSO at its relaxed geometry.

Cell lengths 4.8800, 4.8800, 3.9875 Å; angles 90.00, 90.00, 90.00 degrees
Last column: nearest neighbours and their distance in Å.
Space group P4/mmm (No. 123)
One atom of each set of equivalent atoms:
In  0.0000  0.5000  0.0000 (multiplicity 2)  2 O 2.44
P  0.0000  0.0000  0.5000 (multiplicity 1)  8 In 3.15, 4 S 3.45
S  0.5000  0.5000  0.5000 (multiplicity 1)  2 O 1.99
O  0.5000  0.5000  0.0000 (multiplicity 1)  2 S 1.99

Total magnetic moment, μB/f.u.: 0.000
Crystal system: tetragonal
Formation energy (no corrections), eV/atom: 0.175

***

(2)
Density functional theory data (PBE) for crystalline KTa2I at its relaxed geometry.

Cell lengths 4.5323, 4.5323, 23.0444 Å; angles 90.00, 90.00, 90.00 degrees
Last column: nearest neighbours and their distance in Å.
Space group I-42d (No. 122)
One atom of each set of equivalent atoms:
K  0.0000  0.0000  0.0000 (multiplicity 4)  4 I 3.20, 4 Ta 3.55
Ta  0.1187  0.7500  0.6250 (multiplicity 8)  2 Ta 2.51
I  0.0000  0.0000  0.5000 (multiplicity 4)  4 Ta 3.14, 4 K 3.20

Total magnetic moment, μB/f.u.: 0.000
Energy above the most stable polymorph in this dataset, eV per atom: 0.000
Crystal system: tetragonal
Formation energy (no corrections), eV/atom: 1.275

***

(3)
Density functional theory data (PBE) for crystalline CsSrAl2Cl8 at its relaxed geometry.

Cell lengths 6.8660, 6.8660, 30.1387 Å; angles 90.00, 90.00, 120.00 degrees
Last column: nearest neighbours and their distance in Å.
Space group R-3 (No. 148, hexagonal axes)
One atom of each set of equivalent atoms:
Cs  0.0000  0.0000  0.0000 (multiplicity 3)  12 Cl 3.98-4.00
Sr  0.0000  0.0000  0.5000 (multiplicity 3)  6 Cl 2.99
Al  0.0000  0.0000  0.2479 (multiplicity 6)  4 Cl 2.19-2.26
Cl  0.0000  0.0000  0.3204 (multiplicity 6)  1 Al 2.19
Cl  0.0096  0.3178  0.7748 (multiplicity 18)  1 Al 2.26

Total magnetic moment, μB/f.u.: 0.000
Crystal system: trigonal
Formation energy (no corrections), eV/atom: -1.663

***

(4)
Density functional theory data (PBE) for crystalline Pa2Ga2Si4Ru at its relaxed geometry.

Cell lengths 6.0677, 6.0677, 8.4773 Å; angles 90.00, 90.00, 90.00 degrees
Last column: nearest neighbours and their distance in Å.
Space group I4/mmm (No. 139)
One atom of each set of equivalent atoms:
Pa  0.0000  0.5000  0.2500 (multiplicity 4)  8 Si 3.03, 4 Ga 3.05
Ga  0.0000  0.0000  0.2100 (multiplicity 4)  1 Ru 2.46, 4 Si 2.60
Si  0.2207  0.2207  0.0000 (multiplicity 8)  1 Ru 2.40, 2 Ga 2.60, 2 Si 2.68
Ru  0.0000  0.0000  0.5000 (multiplicity 2)  4 Si 2.40, 2 Ga 2.46

Total magnetic moment, μB/f.u.: 0.000
Crystal system: tetragonal
Formation energy (no corrections), eV/atom: -0.479

***

(5)
Density functional theory data (PBE) for crystalline NaTb2Gd at its relaxed geometry.

Cell lengths 3.5233, 3.5233, 10.6447 Å; angles 90.00, 90.00, 90.00 degrees
Last column: nearest neighbours and their distance in Å.
Space group P4/mmm (No. 123)
One atom of each set of equivalent atoms:
Na  0.0000  0.0000  0.0000 (multiplicity 1)  4 Na 3.52, 8 Tb 3.79
Tb  0.5000  0.5000  0.2679 (multiplicity 2)  4 Gd 3.51, 4 Tb 3.52, 4 Na 3.79
Gd  0.0000  0.0000  0.5000 (multiplicity 1)  8 Tb 3.51, 4 Gd 3.52

Total magnetic moment, μB/f.u.: 7.142
Energy above the most stable polymorph in this dataset, eV per atom: 0.000
Crystal system: tetragonal
Energy relative to the elements, eV/atom: 0.138

***

(6)
Density functional theory data (PBE) for crystalline BaMgSb2 at its relaxed geometry.

Cell lengths 3.5618, 4.3586, 8.2687 Å; angles 90.00, 101.34, 90.00 degrees
Last column: nearest neighbours and their distance in Å.
Space group P2/m (No. 10)
One atom of each set of equivalent atoms:
Ba  0.0000  0.0000  0.0000 (multiplicity 1)  2 Ba 3.56, 8 Sb 3.61-3.65
Mg  0.0000  0.0000  0.5000 (multiplicity 1)  4 Sb 2.98
Sb  0.3832  0.5000  0.7174 (multiplicity 2)  2 Mg 2.98

Total magnetic moment, μB/f.u.: 0.000
Crystal system: monoclinic
Formation energy (no corrections), eV/atom: -0.450

***

(7)
Density functional theory data (PBE) for crystalline LiAgCl2 at its relaxed geometry.

Cell lengths 12.9026, 3.7252, 3.7923 Å; angles 90.00, 90.55, 90.00 degrees
Last column: nearest neighbours and their distance in Å.
Space group Cm (No. 8)
One atom of each set of equivalent atoms:
Li  0.0000  0.0000  0.0000 (multiplicity 2)  5 Cl 2.55-2.79
Ag  0.1869  0.5000  0.5302 (multiplicity 2)  5 Cl 2.66-2.76
Cl  0.1975  0.0000  0.0322 (multiplicity 2)  1 Li 2.55, 4 Ag 2.66-2.67
Cl  0.4730  0.0000  0.5401 (multiplicity 2)  4 Li 2.57-2.79, 1 Ag 2.76

Total magnetic moment, μB/f.u.: 0.000
Crystal system: monoclinic
Formation energy (no corrections), eV/atom: -1.046

***

(8)
Density functional theory data (PBE) for crystalline MgTlF3 at its relaxed geometry.

Cell lengths 8.0029, 5.2837, 7.4573 Å; angles 90.00, 100.94, 90.00 degrees
Last column: nearest neighbours and their distance in Å.
Space group P2_1/c (No. 14)
One atom of each set of equivalent atoms:
Mg  0.0726  0.2475  0.4294 (multiplicity 4)  6 F 1.95-2.10
Tl  0.3759  0.7131  0.8282 (multiplicity 4)  3 F 2.50-2.75
F  0.0493  0.0732  0.1750 (multiplicity 4)  3 Mg 2.06-2.10
F  0.1537  0.5835  0.0522 (multiplicity 4)  2 Mg 2.02-2.04
F  0.3060  0.1384  0.9405 (multiplicity 4)  1 Mg 1.95

Total magnetic moment, μB/f.u.: 0.000
Crystal system: monoclinic
Formation energy (no corrections), eV/atom: -2.797